# LiCo6O7, optimized geometry, DFT PBE+U
data_LiCo6O7
_chemical_formula_sum 'Li3 Co18 O21'
_cell_length_a 7.9309
_cell_length_b 7.9309
_cell_length_c 7.3923
_cell_angle_alpha 90.00
_cell_angle_beta 90.00
_cell_angle_gamma 120.00
_space_group_name_H-M_alt 'R -3'
_space_group_IT_number 148
_space_group_name_Hall '-R 3'
loop_
_atom_site_label
_atom_site_fract_x
_atom_site_fract_y
_atom_site_fract_z
Li1 0.0000 0.0000 0.0000
Co1 0.0488 0.8087 0.6691
O1 0.0000 0.0000 0.5000
O2 0.0482 0.8052 0.1709
# E (eV for the cell shown): -247.5
# Density (g cm⁻³): 5.8
# DOS at the Fermi energy (states/eV per atom): 0.335